A plane-wave DFT calculation with PBE was carried out for a relaxed YSc2SiH crystal.

Lattice parameters (Å, degrees): 4.4113 4.4113 4.4984 90.00 90.00 90.00
With the nearest neighbours (Å) after each atom.
Sites, in units of the cell vectors:
H (0.0000, 0.0000, 0.0000)  4 Sc 2.21, 2 Y 2.25
Y (0.0000, 0.0000, 0.5000)  2 H 2.25
Sc (0.0000, 0.5000, 0.0000)  2 H 2.21
Sc (0.5000, 0.0000, 0.0000)  2 H 2.21
Si (0.5000, 0.5000, 0.5000)  4 Y 3.12, 8 Sc 3.15

Space-group type: No. 123
E, eV per atom: -5.968